# 1
Entry from Alexandria via LeMat-Bulk: KAlCoTe2 after structural relaxation (PBE-GGA).

The structure belongs to space group P4/mmm (No. 123); the cell edges are 5.3764, 5.3764 and 6.2877 Å and the angles 90.00°, 90.00° and 90.00°. The distinct sites, in fractional coordinates, are K at (0.0000, 0.0000, 0.0000), Al at (0.0000, 0.0000, 0.5000), Co at (0.5000, 0.5000, 0.0000) and Te at (0.0000, 0.5000, 0.5000).

The calculation puts the total energy at -2.872 eV/atom. The calculation puts the uncorrected formation energy at 774 meV per atom.

***

# 2
Entry from Alexandria via LeMat-Bulk: BaLiCr3 after structural relaxation (PBE-GGA).

The structure belongs to space group Pm-3m (No. 221); the cell edges are 5.2432, 5.2432 and 5.2432 Å and the angles 90.00°, 90.00° and 90.00°. The distinct sites, in fractional coordinates, are Ba at (0.0000, 0.0000, 0.0000), Li at (0.5000, 0.5000, 0.5000) and Cr at (0.0000, 0.0000, 0.5000).

The calculation puts the total energy at -4.325 eV/atom. The excess energy over the best structure of this formula in the dataset comes out at 1047 meV per atom. The formation energy from the elements is 2217 meV/atom.

***

# 3
Entry from Alexandria via LeMat-Bulk: InTcHgGe2 after structural relaxation (PBE-GGA).

The structure belongs to space group P4/mmm (No. 123); the cell edges are 4.8213, 4.8213 and 5.3392 Å and the angles 90.00°, 90.00° and 90.00°. The distinct sites, in fractional coordinates, are In at (0.0000, 0.0000, 0.0000), Tc at (0.0000, 0.0000, 0.5000), Hg at (0.5000, 0.5000, 0.0000) and Ge at (0.0000, 0.5000, 0.5000).

The calculation puts the total energy at -4.441 eV/atom. The formation energy from the elements is 87 meV/atom.

***

# 4
Entry from Alexandria via LeMat-Bulk: SiP2HO after structural relaxation (PBE-GGA).

The structure belongs to space group P4/mmm (No. 123); the cell edges are 3.3664, 3.3664 and 5.3282 Å and the angles 90.00°, 90.00° and 90.00°. The distinct sites, in fractional coordinates, are Si at (0.0000, 0.0000, 0.0000), P at (0.0000, 0.5000, 0.5000), H at (0.5000, 0.5000, 0.5000) and O at (0.5000, 0.5000, 0.0000).

The calculation puts the total energy at -4.289 eV/atom. The excess energy over the best structure of this formula in the dataset comes out at 198 meV per atom.

***

# 5
Entry from Alexandria via LeMat-Bulk: Rb4Tl4Au after structural relaxation (PBE-GGA).

The structure belongs to space group I-42m (No. 121); the cell edges are 6.5962, 6.5962 and 18.7758 Å and the angles 90.00°, 90.00° and 90.00°. The distinct sites, in fractional coordinates, are Rb at (0.2284, 0.2284, 0.3436), Tl at (0.2094, 0.2094, 0.0544) and Au at (0.0000, 0.0000, 0.5000).

The calculation puts the total energy at -1.917 eV/atom. The formation energy from the elements is -71 meV/atom.

***

# 6
Entry from Alexandria via LeMat-Bulk: BeGa2PdRu after structural relaxation (PBE-GGA).

The structure belongs to space group P4/mmm (No. 123); the cell edges are 4.6296, 4.6296 and 4.0798 Å and the angles 90.00°, 90.00° and 90.00°. The distinct sites, in fractional coordinates, are Be at (0.0000, 0.0000, 0.0000), Ga at (0.0000, 0.5000, 0.5000), Pd at (0.0000, 0.0000, 0.5000) and Ru at (0.5000, 0.5000, 0.0000).

The calculation puts the total energy at -4.208 eV/atom. The formation energy from the elements is 641 meV/atom.

***

# 7
Entry from Alexandria via LeMat-Bulk: HfZnTe2N after structural relaxation (PBE-GGA).

The structure belongs to space group P4/mmm (No. 123); the cell edges are 5.7362, 5.7362 and 3.9877 Å and the angles 90.00°, 90.00° and 90.00°. The distinct sites, in fractional coordinates, are Hf at (0.0000, 0.0000, 0.0000), Zn at (0.5000, 0.5000, 0.5000), Te at (0.0000, 0.5000, 0.0000) and N at (0.0000, 0.0000, 0.5000).

The calculation puts the total energy at -5.076 eV/atom. The calculation puts the uncorrected formation energy at 91 meV per atom. The excess energy over the best structure of this formula in the dataset comes out at 0 meV per atom.

***

# 8
Entry from Alexandria via LeMat-Bulk: Ce2HoBe after structural relaxation (PBE-GGA).

The structure belongs to space group R-3m (No. 166, hexagonal axes); the cell edges are 3.1593, 3.1593 and 35.2549 Å and the angles 90.00°, 90.00° and 120.00°. The distinct sites, in fractional coordinates, are Ce at (0.0000, 0.0000, 0.0823), Ho at (0.0000, 0.0000, 0.5000) and Be at (0.0000, 0.0000, 0.0000).

The calculation puts the total energy at -4.329 eV/atom. The formation energy from the elements is 714 meV/atom.

***

# 9
Entry from Alexandria via LeMat-Bulk: LaNdSm5Er2 after structural relaxation (PBE-GGA).

The structure belongs to space group Cmc2_1 (No. 36); the cell edges are 5.6921, 20.1505 and 10.7294 Å and the angles 90.00°, 90.00° and 90.00°. The distinct sites, in fractional coordinates, are La at (0.0000, 0.0821, 0.0000), Nd at (0.0000, 0.2980, 0.5622), Sm at (0.0000, 0.0221, 0.2901), Sm at (0.0000, 0.1104, 0.5777), Sm at (0.0000, 0.2039, 0.2573), Sm at (0.0000, 0.2183, 0.8623), Sm at (0.0000, 0.4831, 0.5782), Er at (0.0000, 0.3844, 0.8737) and Er at (0.0000, 0.3888, 0.2856).

The calculation puts the total energy at -4.560 eV/atom. The formation energy from the elements is 153 meV/atom.

***

# 10
Entry from Alexandria via LeMat-Bulk: LiTi2NiGe after structural relaxation (PBE-GGA).

The structure belongs to space group P4/mmm (No. 123); the cell edges are 4.7364, 4.7364 and 4.2321 Å and the angles 90.00°, 90.00° and 90.00°. The distinct sites, in fractional coordinates, are Li at (0.0000, 0.0000, 0.0000), Ti at (0.0000, 0.5000, 0.5000), Ni at (0.5000, 0.5000, 0.0000) and Ge at (0.0000, 0.0000, 0.5000).

The calculation puts the total energy at -5.030 eV/atom. The formation energy from the elements is 591 meV/atom.

***

# 11
Entry from Alexandria via LeMat-Bulk: Cs3Nd2PbSe6 after structural relaxation (PBE-GGA).

The structure belongs to space group C2/m (No. 12); the cell edges are 7.6462, 13.2464 and 8.7856 Å and the angles 90.00°, 106.83° and 90.00°. The distinct sites, in fractional coordinates, are Cs at (0.0000, 0.0000, 0.0000), Cs at (0.0000, 0.3352, 0.0000), Nd at (0.0000, 0.1670, 0.5000), Pb at (0.0000, 0.5000, 0.5000), Se at (0.2258, 0.0000, 0.6914) and Se at (0.2330, 0.3310, 0.6920).

The calculation puts the total energy at -4.419 eV/atom. The calculation puts the uncorrected formation energy at -1360 meV per atom.

***

# 12
Entry from Alexandria via LeMat-Bulk: Na2Pt after structural relaxation (PBE-GGA).

The structure belongs to space group Cm (No. 8); the cell edges are 10.9021, 2.8990 and 9.3611 Å and the angles 90.00°, 99.17° and 90.00°. The distinct sites, in fractional coordinates, are Na at (0.0000, 0.0000, 0.0000), Na at (0.0667, 0.5000, 0.4487), Na at (0.2795, 0.0000, 0.2050), Na at (0.3476, 0.0000, 0.6892), Pt at (0.0895, 0.0000, 0.7221) and Pt at (0.2280, 0.5000, 0.9270).

The calculation puts the total energy at -2.966 eV/atom. The formation energy from the elements is -73 meV/atom.

***

# 13
Entry from Alexandria via LeMat-Bulk: BeCu2Ag after structural relaxation (PBE-GGA).

The structure belongs to space group P4/mmm (No. 123); the cell edges are 2.7507, 2.7507 and 6.5477 Å and the angles 90.00°, 90.00° and 90.00°. The distinct sites, in fractional coordinates, are Be at (0.0000, 0.0000, 0.0000), Cu at (0.5000, 0.5000, 0.1980) and Ag at (0.0000, 0.0000, 0.5000).

The calculation puts the total energy at -3.674 eV/atom. The formation energy from the elements is 18 meV/atom.

***

# 14
Entry from Alexandria via LeMat-Bulk: Y2Ge4IrPt3 after structural relaxation (PBE-GGA).

The structure belongs to space group P-4m2 (No. 115); the cell edges are 4.1336, 4.1336 and 10.8424 Å and the angles 90.00°, 90.00° and 90.00°. The distinct sites, in fractional coordinates, are Y at (0.0000, 0.5000, 0.2412), Ge at (0.0000, 0.0000, 0.5000), Ge at (0.0000, 0.5000, 0.8651), Ge at (0.5000, 0.5000, 0.5000), Ir at (0.5000, 0.5000, 0.0000), Pt at (0.0000, 0.0000, 0.0000) and Pt at (0.0000, 0.5000, 0.6409).

The calculation puts the total energy at -6.703 eV/atom. The formation energy from the elements is -865 meV/atom.

***

| no. | N(E_F) (states/eV/cell) |
| --- | --- |
| 1 | 7.8 |
| 2 | 5.5 |
| 3 | 0.6 |
| 4 | 1.8 |
| 5 | 10.5 |
| 6 | 2.7 |
| 7 | 5.8 |
| 8 | 29.3 |
| 9 | 56.1 |
| 10 | 6.0 |
| 11 | 11.8 |
| 12 | 7.1 |
| 13 | 1.2 |
| 14 | 4.6 |